No. 1
First-principles (PBE) data for Na2CaIn after structural relaxation, as listed in the Alexandria database.

a = 4.7284 Å, b = 4.7284 Å, c = 5.6746 Å
α = 90.00°, β = 90.00°, γ = 90.00°
With the nearest neighbours (Å) after each atom.
Space group P4/mmm (No. 123)
Unique sites:
1 Na 0.0000 0.5000 0.0000  4 Na 3.34, 4 In 3.69, 4 Ca 3.69
2 Ca 0.0000 0.0000 0.5000  4 In 3.34, 8 Na 3.69
3 In 0.5000 0.5000 0.5000  4 Ca 3.34, 8 Na 3.69

Properties
For the volume, the calculation gives 126.9 Å³/cell. The calculation puts the energy of formation at -87 meV per atom. The value obtained for the calculated total energy is -1.932 eV/atom. The calculation puts the total magnetization at 0.0 μB/cell. The calculation puts the density of states at the Fermi level at 0.878 states/eV/atom. The crystal system is tetragonal.



No. 2
First-principles (PBE) data for NaCa3In4 after structural relaxation, as listed in the Alexandria database.

a = 3.8501 Å, b = 3.8501 Å, c = 15.2147 Å
α = 90.00°, β = 90.00°, γ = 90.00°
With the nearest neighbours (Å) after each atom.
Space group P4/mmm (No. 123)
Unique sites:
1 Na 0.0000 0.0000 0.0000  8 In 3.25
2 Ca 0.0000 0.0000 0.2470  8 In 3.35-3.37
3 Ca 0.0000 0.0000 0.5000  8 In 3.32
4 In 0.5000 0.5000 0.1164  4 Na 3.25, 4 Ca 3.37, 1 In 3.54
5 In 0.5000 0.5000 0.3747  8 Ca 3.32-3.35

Properties
For the volume, the calculation gives 225.5 Å³/cell. The calculation puts the energy of formation at -362 meV per atom. The value obtained for the calculated total energy is -2.646 eV/atom. The calculation puts the total magnetization at 0.0 μB/cell. The calculation puts the density of states at the Fermi level at 0.467 states/eV/atom. The crystal system is tetragonal.



No. 3
First-principles (PBE) data for Na2CaIn after structural relaxation, as listed in the Alexandria database.

a = 3.5947 Å, b = 3.5947 Å, c = 37.5316 Å
α = 90.00°, β = 90.00°, γ = 120.00°
With the nearest neighbours (Å) after each atom.
Space group R-3m (No. 166, hexagonal axes)
Unique sites:
1 Na 0.0000 0.0000 0.0946  3 In 3.41, 1 Ca 3.55, 6 Na 3.59
2 Ca 0.0000 0.0000 0.0000  2 Na 3.55, 6 Ca 3.59
3 In 0.0000 0.0000 0.5000  6 Na 3.41, 6 In 3.59

Properties
For the volume, the calculation gives 420.0 Å³/cell. The calculation puts the energy of formation at 98 meV per atom. The value obtained for the calculated total energy is -1.746 eV/atom. The calculation puts the total magnetization at 0.0 μB/cell. The calculation puts the density of states at the Fermi level at 0.649 states/eV/atom. The crystal system is trigonal.



No. 4
First-principles (PBE) data for Na2CaIn6 after structural relaxation, as listed in the Alexandria database.

a = 3.7262 Å, b = 8.5826 Å, c = 15.2976 Å
α = 90.00°, β = 90.00°, γ = 90.00°
With the nearest neighbours (Å) after each atom.
Space group Immm (No. 71)
Unique sites:
1 Na 0.0000 0.0000 0.1402  10 In 3.16-3.40
2 Ca 0.0000 0.5000 0.0000  12 In 3.34-3.63, 2 Ca 3.73
3 In 0.0000 0.1751 0.3219  4 In 3.00-3.16, 1 Na 3.16
4 In 0.0000 0.3234 0.5000  3 In 3.01-3.03, 4 Na 3.22, 2 Ca 3.34

Properties
For the volume, the calculation gives 489.2 Å³/cell. The calculation puts the energy of formation at -169 meV per atom. The calculation puts the energy above the most stable polymorph in this dataset at 0.76 kcal/mol of atoms. The value obtained for the calculated total energy is -2.510 eV/atom. The calculation puts the total magnetization at 0.0 μB/cell. The calculation puts the density of states at the Fermi level at 0.320 states/eV/atom. The crystal system is orthorhombic.